K3U3FeS8 | the Alexandria database | PBE-GGA | optimized geometry; uncorrected energy = -6.45 eV/atom; raw formation energy = -117 kJ per mole of atoms; symmetry = R-3m
1.0
7.8338 -0.0004 -0.0007
-3.9173 6.7821 -0.0245
-0.0007 -4.4923 7.5615
S U K Fe
8 3 3 1
direct
0.2254 0.4508 0.6901
0.7744 0.0353 0.3097
0.2605 0.0352 0.3099
0.7746 0.5492 0.3099
0.7395 0.9648 0.6901
0.7352 0.4704 0.7055
0.2256 0.9647 0.6903
0.2648 0.5296 0.2945
0.5000 0.5000 0.5000
0.0000 0.5000 0.5000
0.5000 0.0000 0.5000
0.0000 0.5000 0.0000
0.5000 0.5000 0.0000
0.0000 0.0000 0.0000
0.0000 0.0000 0.5000

***

CsNpAg2I6 | the Alexandria database | PBE-GGA | optimized geometry; uncorrected energy = -3.60 eV/atom; raw formation energy = -70 kJ per mole of atoms; symmetry = C2/c
1.0
-8.0221 -1.7437 1.9536
1.4442 -10.5866 0.2967
1.4838 0.7303 10.5601
I Ag Np Cs
12 4 2 2
direct
0.3442 0.2605 0.9980
0.3870 0.5445 0.7131
0.8442 0.9980 0.2605
0.1130 0.2869 0.4555
0.6130 0.4555 0.2869
0.1558 0.0020 0.7395
0.6558 0.7395 0.0020
0.8870 0.7131 0.5445
0.5828 0.1673 0.6037
0.4172 0.8327 0.3963
0.9172 0.3963 0.8327
0.0828 0.6037 0.1673
0.7214 0.5309 0.6757
0.2786 0.4691 0.3243
0.7786 0.3243 0.4691
0.2214 0.6757 0.5309
0.7500 0.7281 0.2719
0.2500 0.2719 0.7281
0.7500 0.0805 0.9195
0.2500 0.9195 0.0805

***

Mn4V5Os | the Alexandria database | PBE-GGA | optimized geometry; formation energy = -0.28 eV per atom; uncorrected energy = -9.63 eV/atom; symmetry = P4/mmm
1.0
-1.1826 2.5124 -0.8445
-1.5058 0.1242 2.4781
10.9466 7.2662 6.2875
Mn V Os
4 5 1
direct
0.0000 0.0000 0.7950
0.0000 0.0000 0.4016
0.0000 0.0000 0.2050
0.0000 0.0000 0.5984
0.5000 0.5000 0.1102
0.5000 0.5000 0.5000
0.5000 0.5000 0.8898
0.5000 0.5000 0.6954
0.5000 0.5000 0.3046
0.0000 0.0000 0.0000

***

CaAs2Cl | the Alexandria database | PBE-GGA | optimized geometry; uncorrected energy = -4.12 eV/atom; raw formation energy = -80 kJ per mole of atoms; symmetry = Fmmm; relative energy among the computed polymorphs = 169 meV per atom
1.0
3.8500 -0.0041 -0.0137
-1.9076 6.6693 -0.0001
0.0348 1.1151 3.6843
Ca Cl As
1 1 2
direct
0.0000 0.5000 0.5000
0.5000 0.5000 0.0000
0.5000 0.0000 0.5000
0.0000 0.0000 0.0000

***

FeTcRu2 | the Alexandria database | PBE-GGA | optimized geometry; formation energy = 0.12 eV per atom; uncorrected energy = -9.22 eV/atom; symmetry = Amm2; relative energy among the computed polymorphs = 26 meV per atom
1.0
-1.0670 3.9347 -0.1800
-1.3235 -0.2527 2.3206
3.3956 1.0859 3.6079
Ru Fe Tc
2 1 1
direct
0.0000 0.9557 0.9635
0.5000 0.2988 0.2777
0.5000 0.5582 0.7588
0.0000 0.6873 0.5001

***

Hf3Ni2Au4 | the Alexandria database | PBE-GGA | optimized geometry; formation energy = -0.43 eV per atom; uncorrected energy = -6.49 eV/atom; symmetry = C2/c
1.0
-3.9211 0.4063 2.9092
3.4611 -2.6032 7.0028
2.2009 6.8625 3.9821
Au Hf Ni
8 6 4
direct
0.6350 0.8284 0.6032
0.1350 0.6032 0.8284
0.5289 0.0782 0.8072
0.3650 0.1716 0.3968
0.4711 0.9218 0.1928
0.8650 0.3968 0.1716
0.0289 0.8072 0.0782
0.9711 0.1928 0.9218
0.9200 0.0351 0.3028
0.7500 0.6091 0.3909
0.5800 0.6972 0.9649
0.0800 0.9649 0.6972
0.4200 0.3028 0.0351
0.2500 0.3909 0.6091
0.6839 0.4781 0.7322
0.1839 0.7322 0.4781
0.3161 0.5219 0.2678
0.8161 0.2678 0.5219

***

Mn3BeNi | the Alexandria database | PBE-GGA | optimized geometry; formation energy = 1.69 eV per atom; uncorrected energy = -5.71 eV/atom; symmetry = Pm-3m; relative energy among the computed polymorphs = 968 meV per atom
1.0
4.1657 0.0000 0.0000
0.0000 4.1657 0.0000
0.0000 0.0000 4.1657
Be Mn Ni
1 3 1
direct
0.5000 0.5000 0.5000
0.0000 0.0000 0.5000
0.0000 0.5000 0.0000
0.5000 0.0000 0.0000
0.0000 0.0000 0.0000

***

Na3HO | the Alexandria database | PBE-GGA | optimized geometry; uncorrected energy = -3.17 eV/atom; symmetry = Pm-3m; relative energy among the computed polymorphs = 30 meV per atom
1.0
4.4755 0.0000 0.0000
0.0000 4.4755 0.0000
0.0000 0.0000 4.4755
Na O H
3 1 1
direct
0.0000 0.0000 0.5000
0.5000 0.0000 0.0000
0.0000 0.5000 0.0000
0.0000 0.0000 0.0000
0.5000 0.5000 0.5000